Version one
Here is a geometry-optimized Ba4Sb2S structure from the Alexandria database. Energies are from PBE-GGA.

Computed properties:
Total magnetization in μB per formula unit: 0.0

```
data_Ba4Sb2S
_space_group_name_H-M_alt 'I 4/m m m'
_space_group_IT_number 139
_space_group_name_Hall '-I 4 2'
_cell_length_a 5.8526
_cell_length_b 5.8526
_cell_length_c 18.2729
_cell_angle_alpha 90.00
_cell_angle_beta 90.00
_cell_angle_gamma 90.00
loop_
_atom_site_label
_atom_site_fract_x
_atom_site_fract_y
_atom_site_fract_z
Ba1 0.0000 0.0000 0.1792
Ba2 0.0000 0.5000 0.0000
Sb1 0.0000 0.0000 0.3679
S1 0.0000 0.0000 0.0000
```



Version two
Here is a geometry-optimized Ba4Sb2S structure from the Alexandria database. Energies are from PBE-GGA.

Computed properties:
Total magnetization in μB per formula unit: 0.0

```
data_Ba4Sb2S
_space_group_name_H-M_alt 'P 1 21/m 1'
_space_group_IT_number 11
_cell_length_a 8.5164
_cell_length_b 7.8323
_cell_length_c 10.0845
_cell_angle_alpha 90.00
_cell_angle_beta 107.74
_cell_angle_gamma 90.00
loop_
_space_group_symop_operation_xyz
'x,y,z'
'-x,-y,-z'
'-x,y+1/2,-z'
'x,-y+1/2,z'
loop_
_atom_site_label
_atom_site_fract_x
_atom_site_fract_y
_atom_site_fract_z
Ba1 0.0079 0.0011 0.2529
Ba2 0.4729 0.2500 0.1273
Ba3 0.4871 0.2500 0.6103
Sb1 0.2132 0.7500 0.5586
Sb2 0.2363 0.7500 0.0525
S1 0.2732 0.2500 0.3192
```



In terms of stability, version one leads; the second structure lies 65 meV per atom higher.



Version one
Here is a geometry-optimized BaSc2S4 structure from the Alexandria database. Energies are from PBE-GGA.

Computed properties:
Total magnetization in μB per formula unit: 0.0

```
data_BaSc2S4
_space_group_name_H-M_alt 'P n m a'
_space_group_IT_number 62
_cell_length_a 12.0062
_cell_length_b 3.8598
_cell_length_c 13.9484
_cell_angle_alpha 90.00
_cell_angle_beta 90.00
_cell_angle_gamma 90.00
loop_
_space_group_symop_operation_xyz
'x,y,z'
'-x,-y,-z'
'-x+1/2,-y,z+1/2'
'x+1/2,y,-z+1/2'
'x+1/2,-y+1/2,-z+1/2'
'-x+1/2,y+1/2,z+1/2'
'-x,y+1/2,-z'
'x,-y+1/2,z'
loop_
_atom_site_label
_atom_site_fract_x
_atom_site_fract_y
_atom_site_fract_z
Ba1 0.2406 0.2500 0.1652
Sc1 0.0630 0.2500 0.3930
Sc2 0.0771 0.2500 0.9002
S1 0.0248 0.7500 0.7836
S2 0.0786 0.2500 0.5749
S3 0.1176 0.7500 0.0219
S4 0.2052 0.7500 0.3506
```



Version two
Here is a geometry-optimized BaSc2S4 structure from the Alexandria database. Energies are from PBE-GGA.

Computed properties:
Total magnetization in μB per formula unit: 0.0

```
data_BaSc2S4
_space_group_name_H-M_alt 'C m c m'
_space_group_IT_number 63
_space_group_name_Hall '-C 2c 2'
_cell_length_a 3.8989
_cell_length_b 12.6139
_cell_length_c 13.1403
_cell_angle_alpha 90.00
_cell_angle_beta 90.00
_cell_angle_gamma 90.00
loop_
_atom_site_label
_atom_site_fract_x
_atom_site_fract_y
_atom_site_fract_z
Ba1 0.0000 0.1086 0.2500
Sc1 0.0000 0.3644 0.0656
S1 0.0000 0.0000 0.0000
S2 0.0000 0.2645 0.6052
S3 0.0000 0.4199 0.2500
```



In terms of stability, version one leads; the second structure lies 33 meV per atom higher.



Version one
Here is a geometry-optimized BaTl2SeS structure from the Alexandria database. Energies are from PBE-GGA.

Computed properties:
Total magnetization in μB per formula unit: 0.0

```
data_BaTl2SeS
_space_group_name_H-M_alt 'P 4/m m m'
_space_group_IT_number 123
_space_group_name_Hall '-P 4 2'
_cell_length_a 5.7274
_cell_length_b 5.7274
_cell_length_c 5.1933
_cell_angle_alpha 90.00
_cell_angle_beta 90.00
_cell_angle_gamma 90.00
loop_
_atom_site_label
_atom_site_fract_x
_atom_site_fract_y
_atom_site_fract_z
Ba1 0.0000 0.0000 0.0000
Tl1 0.0000 0.5000 0.5000
Se1 0.5000 0.5000 0.0000
S1 0.5000 0.5000 0.5000
```



Version two
Here is a geometry-optimized BaTl2SeS structure from the Alexandria database. Energies are from PBE-GGA.

Computed properties:
Total magnetization in μB per formula unit: 0.0

```
data_BaTl2SeS
_space_group_name_H-M_alt 'P 4 m m'
_space_group_IT_number 99
_cell_length_a 4.7893
_cell_length_b 4.7893
_cell_length_c 8.1066
_cell_angle_alpha 90.00
_cell_angle_beta 90.00
_cell_angle_gamma 90.00
loop_
_space_group_symop_operation_xyz
'x,y,z'
'-y,x,z'
'-x,-y,z'
'y,-x,z'
'-x,y,z'
'y,x,z'
'x,-y,z'
'-y,-x,z'
loop_
_atom_site_label
_atom_site_fract_x
_atom_site_fract_y
_atom_site_fract_z
Ba1 0.0000 0.0000 0.0000
Tl1 0.0000 0.5000 0.4171
Se1 0.5000 0.5000 0.0913
S1 0.0000 0.0000 0.6330
```



In terms of stability, version two leads; the second structure lies 514 meV per atom higher.



Version one
Here is a geometry-optimized Ba2SiS4 structure from the Alexandria database. Energies are from PBE-GGA.

Computed properties:
Total magnetization in μB per formula unit: 0.0

```
data_Ba2SiS4
_space_group_name_H-M_alt 'P 1 21/m 1'
_space_group_IT_number 11
_cell_length_a 6.7706
_cell_length_b 6.7863
_cell_length_c 9.0070
_cell_angle_alpha 90.00
_cell_angle_beta 108.08
_cell_angle_gamma 90.00
loop_
_space_group_symop_operation_xyz
'x,y,z'
'-x,-y,-z'
'-x,y+1/2,-z'
'x,-y+1/2,z'
loop_
_atom_site_label
_atom_site_fract_x
_atom_site_fract_y
_atom_site_fract_z
Ba1 0.2128 0.2500 0.0406
Ba2 0.2853 0.2500 0.5714
Si1 0.2047 0.7500 0.7869
S1 0.0029 0.5013 0.7274
S2 0.3492 0.7500 0.0349
S3 0.4121 0.7500 0.6486
```



Version two
Here is a geometry-optimized Ba2SiS4 structure from the Alexandria database. Energies are from PBE-GGA.

Computed properties:
Total magnetization in μB per formula unit: 0.0

```
data_Ba2SiS4
_space_group_name_H-M_alt 'P n m a'
_space_group_IT_number 62
_cell_length_a 8.9986
_cell_length_b 6.8231
_cell_length_c 12.4105
_cell_angle_alpha 90.00
_cell_angle_beta 90.00
_cell_angle_gamma 90.00
loop_
_space_group_symop_operation_xyz
'x,y,z'
'-x,-y,-z'
'-x+1/2,-y,z+1/2'
'x+1/2,y,-z+1/2'
'x+1/2,-y+1/2,-z+1/2'
'-x+1/2,y+1/2,z+1/2'
'-x,y+1/2,-z'
'x,-y+1/2,z'
loop_
_atom_site_label
_atom_site_fract_x
_atom_site_fract_y
_atom_site_fract_z
Ba1 0.0181 0.2500 0.1703
Ba2 0.1302 0.7500 0.4212
Si1 0.2305 0.7500 0.0756
S1 0.0043 0.2500 0.9069
S2 0.1762 0.5049 0.6463
S3 0.1901 0.2500 0.4127
```



In terms of stability, version one leads; the second structure lies 14 meV per atom higher.



Version one
Here is a geometry-optimized BaSm2S4 structure from the Alexandria database. Energies are from PBE-GGA.

Computed properties:
Total magnetization in μB per formula unit: 0.0

```
data_BaSm2S4
_space_group_name_H-M_alt 'C m c m'
_space_group_IT_number 63
_space_group_name_Hall '-C 2c 2'
_cell_length_a 4.1232
_cell_length_b 13.5088
_cell_length_c 13.8633
_cell_angle_alpha 90.00
_cell_angle_beta 90.00
_cell_angle_gamma 90.00
loop_
_atom_site_label
_atom_site_fract_x
_atom_site_fract_y
_atom_site_fract_z
Ba1 0.0000 0.1110 0.2500
Sm1 0.0000 0.3658 0.0680
S1 0.0000 0.0000 0.0000
S2 0.0000 0.2665 0.6117
S3 0.0000 0.4416 0.2500
```



Version two
Here is a geometry-optimized BaSm2S4 structure from the Alexandria database. Energies are from PBE-GGA.

Computed properties:
Total magnetization in μB per formula unit: 0.0

```
data_BaSm2S4
_space_group_name_H-M_alt 'P n m a'
_space_group_IT_number 62
_cell_length_a 12.4088
_cell_length_b 4.1477
_cell_length_c 14.8300
_cell_angle_alpha 90.00
_cell_angle_beta 90.00
_cell_angle_gamma 90.00
loop_
_space_group_symop_operation_xyz
'x,y,z'
'-x,-y,-z'
'-x+1/2,-y,z+1/2'
'x+1/2,y,-z+1/2'
'x+1/2,-y+1/2,-z+1/2'
'-x+1/2,y+1/2,z+1/2'
'-x,y+1/2,-z'
'x,-y+1/2,z'
loop_
_atom_site_label
_atom_site_fract_x
_atom_site_fract_y
_atom_site_fract_z
Ba1 0.2443 0.2500 0.1601
Sm1 0.0727 0.2500 0.3921
Sm2 0.0772 0.2500 0.8967
S1 0.0194 0.7500 0.7828
S2 0.0792 0.2500 0.5789
S3 0.1282 0.7500 0.0224
S4 0.2092 0.7500 0.3297
```



In terms of stability, version two leads; the second structure lies 23 meV per atom higher.



Version one
Here is a geometry-optimized Ba2SnS3 structure from the Alexandria database. Energies are from PBE-GGA.

Computed properties:
Total magnetization in μB per formula unit: 0.0

```
data_Ba2SnS3
_space_group_name_H-M_alt 'I m m m'
_space_group_IT_number 71
_space_group_name_Hall '-I 2 2'
_cell_length_a 4.2118
_cell_length_b 5.1419
_cell_length_c 16.9023
_cell_angle_alpha 90.00
_cell_angle_beta 90.00
_cell_angle_gamma 90.00
loop_
_atom_site_label
_atom_site_fract_x
_atom_site_fract_y
_atom_site_fract_z
Ba1 0.0000 0.0000 0.1498
Sn1 0.0000 0.0000 0.5000
S1 0.0000 0.0000 0.3354
S2 0.0000 0.5000 0.5000
```



Version two
Here is a geometry-optimized Ba2SnS3 structure from the Alexandria database. Energies are from PBE-GGA.

Computed properties:
Total magnetization in μB per formula unit: 0.0

```
data_Ba2SnS3
_space_group_name_H-M_alt 'C 1 2/c 1'
_space_group_IT_number 15
_cell_length_a 6.4908
_cell_length_b 14.9968
_cell_length_c 15.1838
_cell_angle_alpha 90.00
_cell_angle_beta 92.06
_cell_angle_gamma 90.00
loop_
_space_group_symop_operation_xyz
'x,y,z'
'-x,-y,-z'
'-x,y,-z+1/2'
'x,-y,z+1/2'
'x+1/2,y+1/2,z'
'-x+1/2,-y+1/2,-z'
'-x+1/2,y+1/2,-z+1/2'
'x+1/2,-y+1/2,z+1/2'
loop_
_atom_site_label
_atom_site_fract_x
_atom_site_fract_y
_atom_site_fract_z
Ba1 0.2209 0.1970 0.3473
Ba2 0.2332 0.1088 0.9267
Sn1 0.1588 0.4927 0.8351
S1 0.0000 0.0135 0.2500
S2 0.0000 0.3530 0.2500
S3 0.2223 0.3121 0.8787
S4 0.2441 0.0914 0.5291
```



In terms of stability, version two leads; the second structure lies 21 meV per atom higher.



Version one
Here is a geometry-optimized Ba2SnS structure from the Alexandria database. Energies are from PBE-GGA.

Computed properties:
Total magnetization in μB per formula unit: 0.7

```
data_Ba2SnS
_space_group_name_H-M_alt 'R -3 m'
_space_group_IT_number 166
_space_group_name_Hall '-R 3 2"'
_cell_length_a 4.3307
_cell_length_b 4.3307
_cell_length_c 32.0344
_cell_angle_alpha 90.00
_cell_angle_beta 90.00
_cell_angle_gamma 120.00
loop_
_atom_site_label
_atom_site_fract_x
_atom_site_fract_y
_atom_site_fract_z
Ba1 0.0000 0.0000 0.1087
Sn1 0.0000 0.0000 0.0000
S1 0.0000 0.0000 0.5000
```



Version two
Here is a geometry-optimized Ba2SnS structure from the Alexandria database. Energies are from PBE-GGA.

Computed properties:
Total magnetization in μB per formula unit: 0.0

```
data_Ba2SnS
_space_group_name_H-M_alt 'I -4 2 d'
_space_group_IT_number 122
_space_group_name_Hall 'I -4 2bw'
_cell_length_a 8.6829
_cell_length_b 8.6829
_cell_length_c 9.0246
_cell_angle_alpha 90.00
_cell_angle_beta 90.00
_cell_angle_gamma 90.00
loop_
_atom_site_label
_atom_site_fract_x
_atom_site_fract_y
_atom_site_fract_z
Ba1 0.2014 0.7500 0.1250
Sn1 0.0000 0.0000 0.5000
S1 0.0000 0.0000 0.0000
```



In terms of stability, version two leads; the second structure lies 147 meV per atom higher.



Version one
Here is a geometry-optimized Ba2Sn2S structure from the Alexandria database. Energies are from PBE-GGA.

Computed properties:
Total magnetization in μB per formula unit: 0.0

```
data_Ba2Sn2S
_space_group_name_H-M_alt 'I 4/m m m'
_space_group_IT_number 139
_space_group_name_Hall '-I 4 2'
_cell_length_a 6.7723
_cell_length_b 6.7723
_cell_length_c 8.4733
_cell_angle_alpha 90.00
_cell_angle_beta 90.00
_cell_angle_gamma 90.00
loop_
_atom_site_label
_atom_site_fract_x
_atom_site_fract_y
_atom_site_fract_z
Ba1 0.0000 0.5000 0.2500
Sn1 0.0000 0.0000 0.1668
S1 0.0000 0.0000 0.5000
```



Version two
Here is a geometry-optimized Ba2Sn2S structure from the Alexandria database. Energies are from PBE-GGA.

Computed properties:
Total magnetization in μB per formula unit: 0.0

```
data_Ba2Sn2S
_space_group_name_H-M_alt 'P 4/m b m'
_space_group_IT_number 127
_space_group_name_Hall '-P 4 2ab'
_cell_length_a 8.2451
_cell_length_b 8.2451
_cell_length_c 5.1874
_cell_angle_alpha 90.00
_cell_angle_beta 90.00
_cell_angle_gamma 90.00
loop_
_atom_site_label
_atom_site_fract_x
_atom_site_fract_y
_atom_site_fract_z
Ba1 0.1732 0.3268 0.0000
Sn1 0.1301 0.6301 0.5000
S1 0.0000 0.0000 0.5000
```



In terms of stability, version two leads; the second structure lies 139 meV per atom higher.